Arrangement i

CsBeS2Cl | GGA-PBE | relaxed

Lattice parameters (Å, degrees): 5.4832 5.4832 6.3041 90.00 90.00 90.00
Atoms (fractional coordinates):
S1 0.5000 0.0000 0.0000
Cl1 0.0000 0.0000 0.5000
Cs1 0.0000 0.0000 0.0000
Be1 0.5000 0.5000 0.5000
S2 0.0000 0.5000 0.0000

Calculated values
As for the volume: 189.54 Å³/cell. Its space-group type is No. 123.

***

Arrangement ii

CsBeS2Cl | GGA-PBE | relaxed

Lattice parameters (Å, degrees): 4.3787 4.3787 6.5982 90.00 90.00 90.00
Atoms (fractional coordinates):
S1 0.5000 0.0000 0.0000
Cs1 0.5000 0.5000 0.5000
S2 0.0000 0.5000 0.0000
Cl1 0.0000 0.0000 0.5000
Be1 0.0000 0.0000 0.0000

Calculated values
As for the volume: 126.51 Å³/cell. Its space-group type is No. 123.

***

Most stable: arrangement ii. Least stable: arrangement i.

***

Arrangement i

Be2CuCl | GGA-PBE | relaxed

Lattice parameters (Å, degrees): 4.3364 4.3364 2.8314 90.00 90.00 110.55
Atoms (fractional coordinates):
Be1 0.0000 0.0000 0.0000
Cu1 0.0000 0.5000 0.5000
Be2 0.5000 0.5000 0.0000
Cl1 0.5000 0.0000 0.5000

Calculated values
As for the volume: 49.85 Å³/cell. Its space-group type is No. 65.

***

Arrangement ii

Be2CuCl | GGA-PBE | relaxed

Lattice parameters (Å, degrees): 3.7371 3.7371 5.7734 109.14 109.14 60.53
Atoms (fractional coordinates):
Be1 0.6296 0.6296 0.8941
Cu1 0.3615 0.3615 0.0815
Cl1 0.5107 0.5107 0.5284
Be2 0.9982 0.9982 0.9960

Calculated values
As for the volume: 64.94 Å³/cell. Its space-group type is No. 8.

***

Most stable: arrangement ii. Least stable: arrangement i.

***

Arrangement i

BeCu2Cl | GGA-PBE | relaxed

Lattice parameters (Å, degrees): 4.2239 4.2239 6.6541 118.51 118.51 42.94
Atoms (fractional coordinates):
Cl1 0.2205 0.2205 0.2800
Cu1 0.1084 0.1084 0.8823
Be1 0.4170 0.4170 0.6108
Cu2 0.7541 0.7541 0.7269

Calculated values
As for the volume: 69.42 Å³/cell. Its space-group type is No. 8.

***

Arrangement ii

BeCu2Cl | GGA-PBE | relaxed

Lattice parameters (Å, degrees): 2.8722 2.8722 8.4620 90.00 90.00 117.35
Atoms (fractional coordinates):
Be1 0.0000 0.0000 0.4948
Cu1 0.5000 0.5000 0.2887
Cu2 0.0000 0.0000 0.0587
Cl1 0.5000 0.5000 0.6577

Calculated values
As for the volume: 62.01 Å³/cell. Its space-group type is No. 35.

***

Most stable: arrangement i. Least stable: arrangement ii.